(1)
# SmPd2

An optimized crystal structure of SmPd2 (GGA-PBE, Alexandria).

a b c (Å): 3.640 3.640 9.139
angles (deg): 90.00 90.00 90.00
Space group I4/mmm (No. 139)
Unique sites:
Sm 0.000 0.000 0.000 (multiplicity 2)
Pd 0.000 0.000 0.331 (multiplicity 4)

(2)
# Sm3Pd2

An optimized crystal structure of Sm3Pd2 (GGA-PBE, Alexandria).

a b c (Å): 18.320 4.311 10.946
angles (deg): 90.00 98.24 90.00
Space group C2/m (No. 12)
Unique sites:
Sm 0.000 0.000 0.000 (multiplicity 2)
Sm 0.037 0.000 0.660 (multiplicity 4)
Sm 0.127 0.500 0.277 (multiplicity 4)
Sm 0.171 0.500 0.950 (multiplicity 4)
Sm 0.208 0.500 0.614 (multiplicity 4)
Pd 0.025 0.500 0.826 (multiplicity 4)
Pd 0.133 0.000 0.462 (multiplicity 4)
Pd 0.185 0.000 0.134 (multiplicity 4)

(3)
# Sm3Pd

An optimized crystal structure of Sm3Pd (GGA-PBE, Alexandria).

a b c (Å): 3.772 5.479 11.037
angles (deg): 90.00 90.00 90.00
Space group Immm (No. 71)
Unique sites:
Sm 0.000 0.000 0.000 (multiplicity 2)
Sm 0.000 0.500 0.206 (multiplicity 4)
Pd 0.000 0.000 0.500 (multiplicity 2)

(4)
# SmPd4

An optimized crystal structure of SmPd4 (GGA-PBE, Alexandria).

a b c (Å): 5.029 5.029 5.029
angles (deg): 90.00 90.00 90.00
Space group Pm-3m (No. 221)
Unique sites:
Sm 0.000 0.000 0.000 (multiplicity 1)
Pd 0.000 0.000 0.500 (multiplicity 3)
Pd 0.500 0.500 0.500 (multiplicity 1)

| no. | uncorrected energy (eV per cell) |
| --- | --- |
| 1 | -34.378 |
| 2 | -164.337 |
| 3 | -41.483 |
| 4 | -21.510 |